1) VASP calculation (PBE) on a geometry-optimized Cd4GaBi structure.

Cell and atoms, written as CIF:
```
data_Cd4GaBi
_chemical_formula_sum 'Cd16 Ga4 Bi4'
_symmetry_space_group_name_H-M 'F -4 3 m'
_symmetry_Int_Tables_number 216
_symmetry_space_group_name_Hall 'F -4 2 3'
_cell_length_a 8.434
_cell_length_b 8.434
_cell_length_c 8.434
_cell_angle_alpha 90.00
_cell_angle_beta 90.00
_cell_angle_gamma 90.00
loop_
_atom_site_label
_atom_site_fract_x
_atom_site_fract_y
_atom_site_fract_z
_atom_site_occupancy
Cd1 0.125 0.125 0.125 1
Ga1 0.000 0.000 0.500 1
Bi1 0.250 0.250 0.750 1
```



2) VASP calculation (PBE) on a geometry-optimized Cd4GaBi structure.

Cell and atoms, written as CIF:
```
data_Cd4GaBi
_chemical_formula_sum 'Cd4 Ga1 Bi1'
_symmetry_space_group_name_H-M 'P 4/m m m'
_symmetry_Int_Tables_number 123
_symmetry_space_group_name_Hall '-P 4 2'
_cell_length_a 3.250
_cell_length_b 3.250
_cell_length_c 13.687
_cell_angle_alpha 90.00
_cell_angle_beta 90.00
_cell_angle_gamma 90.00
loop_
_atom_site_label
_atom_site_fract_x
_atom_site_fract_y
_atom_site_fract_z
_atom_site_occupancy
Cd1 0.000 0.000 0.152 1
Cd2 0.500 0.500 0.309 1
Ga1 0.500 0.500 0.000 1
Bi1 0.000 0.000 0.500 1
```



Calculated relative energies: 1) 0.065; 2) 0.000, given in eV/atom



1) VASP calculation (PBE) on a geometry-optimized GdCdBi structure.

Cell and atoms, written as CIF:
```
data_GdCdBi
_chemical_formula_sum 'Gd2 Cd2 Bi2'
_symmetry_space_group_name_H-M 'I 4 m m'
_symmetry_Int_Tables_number 107
_symmetry_space_group_name_Hall 'I 4 -2'
_cell_length_a 4.190
_cell_length_b 4.190
_cell_length_c 9.872
_cell_angle_alpha 90.00
_cell_angle_beta 90.00
_cell_angle_gamma 90.00
loop_
_atom_site_label
_atom_site_fract_x
_atom_site_fract_y
_atom_site_fract_z
_atom_site_occupancy
Gd1 0.000 0.000 0.000 1
Cd1 0.000 0.000 0.328 1
Bi1 0.000 0.000 0.658 1
```



2) VASP calculation (PBE) on a geometry-optimized GdCdBi structure.

Cell and atoms, written as CIF:
```
data_GdCdBi
_chemical_formula_sum 'Gd1 Cd1 Bi1'
_symmetry_space_group_name_H-M 'P 3 m 1'
_symmetry_Int_Tables_number 156
_cell_length_a 4.7975
_cell_length_b 4.7975
_cell_length_c 4.4112
_cell_angle_alpha 90.00
_cell_angle_beta 90.00
_cell_angle_gamma 120.00
loop_
_symmetry_equiv_pos_as_xyz
'x,y,z'
'-y,x-y,z'
'-x+y,-x,z'
'-y,-x,z'
'-x+y,y,z'
'x,x-y,z'
loop_
_atom_site_label
_atom_site_fract_x
_atom_site_fract_y
_atom_site_fract_z
_atom_site_occupancy
Gd1 0.0000 0.0000 0.0000 1
Cd1 0.3333 0.6667 0.6811 1
Bi1 0.6667 0.3333 0.4026 1
```



Calculated relative energies: 1) 0.044; 2) 0.000, given in eV/atom



1) VASP calculation (PBE) on a geometry-optimized CdGe2Bi2 structure.

Cell and atoms, written as CIF:
```
data_CdGe2Bi2
_chemical_formula_sum 'Cd2 Ge4 Bi4'
_symmetry_space_group_name_H-M 'P 4/m b m'
_symmetry_Int_Tables_number 127
_symmetry_space_group_name_Hall '-P 4 2ab'
_cell_length_a 8.477
_cell_length_b 8.477
_cell_length_c 3.823
_cell_angle_alpha 90.00
_cell_angle_beta 90.00
_cell_angle_gamma 90.00
loop_
_atom_site_label
_atom_site_fract_x
_atom_site_fract_y
_atom_site_fract_z
_atom_site_occupancy
Cd1 0.000 0.000 0.000 1
Ge1 0.129 0.371 0.500 1
Bi1 0.156 0.656 0.000 1
```



2) VASP calculation (PBE) on a geometry-optimized CdGe2Bi2 structure.

Cell and atoms, written as CIF:
```
data_CdGe2Bi2
_chemical_formula_sum 'Cd2 Ge4 Bi4'
_symmetry_space_group_name_H-M 'I 4/m m m'
_symmetry_Int_Tables_number 139
_symmetry_space_group_name_Hall '-I 4 2'
_cell_length_a 5.513
_cell_length_b 5.513
_cell_length_c 9.302
_cell_angle_alpha 90.00
_cell_angle_beta 90.00
_cell_angle_gamma 90.00
loop_
_atom_site_label
_atom_site_fract_x
_atom_site_fract_y
_atom_site_fract_z
_atom_site_occupancy
Cd1 0.000 0.000 0.000 1
Ge1 0.000 0.000 0.364 1
Bi1 0.000 0.500 0.250 1
```



3) VASP calculation (PBE) on a geometry-optimized CdGe2Bi2 structure.

Cell and atoms, written as CIF:
```
data_CdGe2Bi2
_chemical_formula_sum 'Cd2 Ge4 Bi4'
_symmetry_space_group_name_H-M 'I 4/m m m'
_symmetry_Int_Tables_number 139
_symmetry_space_group_name_Hall '-I 4 2'
_cell_length_a 4.519
_cell_length_b 4.519
_cell_length_c 14.666
_cell_angle_alpha 90.00
_cell_angle_beta 90.00
_cell_angle_gamma 90.00
loop_
_atom_site_label
_atom_site_fract_x
_atom_site_fract_y
_atom_site_fract_z
_atom_site_occupancy
Cd1 0.000 0.000 0.000 1
Ge1 0.000 0.500 0.250 1
Bi1 0.000 0.000 0.380 1
```



Calculated relative energies: 1) 0.045; 2) 0.000; 3) 0.012, given in eV/atom



1) VASP calculation (PBE) on a geometry-optimized Cd2GeBi2 structure.

Cell and atoms, written as CIF:
```
data_Cd2GeBi2
_chemical_formula_sum 'Cd4 Ge2 Bi4'
_symmetry_space_group_name_H-M 'P 4/m b m'
_symmetry_Int_Tables_number 127
_symmetry_space_group_name_Hall '-P 4 2ab'
_cell_length_a 8.853
_cell_length_b 8.853
_cell_length_c 3.585
_cell_angle_alpha 90.00
_cell_angle_beta 90.00
_cell_angle_gamma 90.00
loop_
_atom_site_label
_atom_site_fract_x
_atom_site_fract_y
_atom_site_fract_z
_atom_site_occupancy
Cd1 0.117 0.383 0.000 1
Ge1 0.000 0.000 0.500 1
Bi1 0.187 0.687 0.500 1
```



2) VASP calculation (PBE) on a geometry-optimized Cd2GeBi2 structure.

Cell and atoms, written as CIF:
```
data_Cd2GeBi2
_chemical_formula_sum 'Cd4 Ge2 Bi4'
_symmetry_space_group_name_H-M 'I 4/m m m'
_symmetry_Int_Tables_number 139
_symmetry_space_group_name_Hall '-I 4 2'
_cell_length_a 4.029
_cell_length_b 4.029
_cell_length_c 17.303
_cell_angle_alpha 90.00
_cell_angle_beta 90.00
_cell_angle_gamma 90.00
loop_
_atom_site_label
_atom_site_fract_x
_atom_site_fract_y
_atom_site_fract_z
_atom_site_occupancy
Cd1 0.000 0.500 0.250 1
Ge1 0.000 0.000 0.000 1
Bi1 0.000 0.000 0.409 1
```



Calculated relative energies: 1) 0.024; 2) 0.000, given in eV/atom



1) VASP calculation (PBE) on a geometry-optimized CdBiH2 structure.

Cell and atoms, written as CIF:
```
data_CdBiH2
_chemical_formula_sum 'Cd1 Bi1 H2'
_symmetry_space_group_name_H-M 'P 1'
_symmetry_Int_Tables_number 1
_cell_length_a 3.096
_cell_length_b 5.993
_cell_length_c 6.691
_cell_angle_alpha 76.28
_cell_angle_beta 78.78
_cell_angle_gamma 75.04
loop_
_symmetry_equiv_pos_as_xyz
'x,y,z'
loop_
_atom_site_label
_atom_site_fract_x
_atom_site_fract_y
_atom_site_fract_z
_atom_site_occupancy
Cd1 0.000 0.000 0.000 1
Bi1 0.264 0.480 0.999 1
H1 0.963 0.050 0.465 1
H2 0.981 0.934 0.542 1
```



2) VASP calculation (PBE) on a geometry-optimized CdBiH2 structure.

Cell and atoms, written as CIF:
```
data_CdBiH2
_chemical_formula_sum 'Cd4 Bi4 H8'
_symmetry_space_group_name_H-M 'I -4 2 d'
_symmetry_Int_Tables_number 122
_symmetry_space_group_name_Hall 'I -4 2bw'
_cell_length_a 5.780
_cell_length_b 5.780
_cell_length_c 8.335
_cell_angle_alpha 90.00
_cell_angle_beta 90.00
_cell_angle_gamma 90.00
loop_
_atom_site_label
_atom_site_fract_x
_atom_site_fract_y
_atom_site_fract_z
_atom_site_occupancy
Cd1 0.000 0.000 0.000 1
Bi1 0.000 0.000 0.500 1
H1 0.094 0.250 0.125 1
```



Calculated relative energies: 1) 0.000; 2) 0.234, given in eV/atom



1) VASP calculation (PBE) on a geometry-optimized CdBi3H structure.

Cell and atoms, written as CIF:
```
data_CdBi3H
_chemical_formula_sum 'Cd1 Bi3 H1'
_symmetry_space_group_name_H-M 'P m -3 m'
_symmetry_Int_Tables_number 221
_symmetry_space_group_name_Hall '-P 4 2 3'
_cell_length_a 5.740
_cell_length_b 5.740
_cell_length_c 5.740
_cell_angle_alpha 90.00
_cell_angle_beta 90.00
_cell_angle_gamma 90.00
loop_
_atom_site_label
_atom_site_fract_x
_atom_site_fract_y
_atom_site_fract_z
_atom_site_occupancy
Cd1 0.000 0.000 0.000 1
Bi1 0.000 0.000 0.500 1
H1 0.500 0.500 0.500 1
```



2) VASP calculation (PBE) on a geometry-optimized CdBi3H structure.

Cell and atoms, written as CIF:
```
data_CdBi3H
_chemical_formula_sum 'Cd1 Bi3 H1'
_symmetry_space_group_name_H-M 'P m -3 m'
_symmetry_Int_Tables_number 221
_symmetry_space_group_name_Hall '-P 4 2 3'
_cell_length_a 4.985
_cell_length_b 4.985
_cell_length_c 4.985
_cell_angle_alpha 90.00
_cell_angle_beta 90.00
_cell_angle_gamma 90.00
loop_
_atom_site_label
_atom_site_fract_x
_atom_site_fract_y
_atom_site_fract_z
_atom_site_occupancy
Cd1 0.000 0.000 0.000 1
Bi1 0.000 0.500 0.500 1
H1 0.500 0.500 0.500 1
```



Calculated relative energies: 1) 0.706; 2) 0.000, given in eV/atom



1) VASP calculation (PBE) on a geometry-optimized Na2CdBiH structure.

Cell and atoms, written as CIF:
```
data_Na2CdBiH
_chemical_formula_sum 'Na2 Cd1 Bi1 H1'
_symmetry_space_group_name_H-M 'P 4/m m m'
_symmetry_Int_Tables_number 123
_symmetry_space_group_name_Hall '-P 4 2'
_cell_length_a 4.557
_cell_length_b 4.557
_cell_length_c 5.129
_cell_angle_alpha 90.00
_cell_angle_beta 90.00
_cell_angle_gamma 90.00
loop_
_atom_site_label
_atom_site_fract_x
_atom_site_fract_y
_atom_site_fract_z
_atom_site_occupancy
Na1 0.000 0.500 0.000 1
Cd1 0.000 0.000 0.500 1
Bi1 0.500 0.500 0.500 1
H1 0.000 0.000 0.000 1
```



2) VASP calculation (PBE) on a geometry-optimized Na2CdBiH structure.

Cell and atoms, written as CIF:
```
data_Na2CdBiH
_chemical_formula_sum 'Na2 Cd1 Bi1 H1'
_symmetry_space_group_name_H-M 'P 4/m m m'
_symmetry_Int_Tables_number 123
_symmetry_space_group_name_Hall '-P 4 2'
_cell_length_a 4.925
_cell_length_b 4.925
_cell_length_c 4.601
_cell_angle_alpha 90.00
_cell_angle_beta 90.00
_cell_angle_gamma 90.00
loop_
_atom_site_label
_atom_site_fract_x
_atom_site_fract_y
_atom_site_fract_z
_atom_site_occupancy
Na1 0.000 0.500 0.000 1
Cd1 0.000 0.000 0.500 1
Bi1 0.500 0.500 0.500 1
H1 0.500 0.500 0.000 1
```



3) VASP calculation (PBE) on a geometry-optimized Na2CdBiH structure.

Cell and atoms, written as CIF:
```
data_Na2CdBiH
_chemical_formula_sum 'Na4 Cd2 Bi2 H2'
_symmetry_space_group_name_H-M 'P 1 21/m 1'
_symmetry_Int_Tables_number 11
_cell_length_a 6.765
_cell_length_b 4.863
_cell_length_c 7.971
_cell_angle_alpha 90.00
_cell_angle_beta 109.63
_cell_angle_gamma 90.00
loop_
_symmetry_equiv_pos_as_xyz
'x,y,z'
'-x,-y,-z'
'-x,y+1/2,-z'
'x,-y+1/2,z'
loop_
_atom_site_label
_atom_site_fract_x
_atom_site_fract_y
_atom_site_fract_z
_atom_site_occupancy
Na1 0.141 0.250 0.391 1
Na2 0.241 0.250 0.942 1
Cd1 0.387 0.750 0.297 1
Bi1 0.352 0.750 0.688 1
H1 0.115 0.750 0.139 1
```



Calculated relative energies: 1) 0.032; 2) 0.157; 3) 0.000, given in eV/atom



1) VASP calculation (PBE) on a geometry-optimized Ti2CdBiH structure.

Cell and atoms, written as CIF:
```
data_Ti2CdBiH
_chemical_formula_sum 'Ti2 Cd1 Bi1 H1'
_symmetry_space_group_name_H-M 'P 4/m m m'
_symmetry_Int_Tables_number 123
_symmetry_space_group_name_Hall '-P 4 2'
_cell_length_a 5.331
_cell_length_b 5.331
_cell_length_c 3.480
_cell_angle_alpha 90.00
_cell_angle_beta 90.00
_cell_angle_gamma 90.00
loop_
_atom_site_label
_atom_site_fract_x
_atom_site_fract_y
_atom_site_fract_z
_atom_site_occupancy
Ti1 0.000 0.500 0.000 1
Cd1 0.000 0.000 0.000 1
Bi1 0.500 0.500 0.500 1
H1 0.000 0.000 0.500 1
```



2) VASP calculation (PBE) on a geometry-optimized Ti2CdBiH structure.

Cell and atoms, written as CIF:
```
data_Ti2CdBiH
_chemical_formula_sum 'Ti2 Cd1 Bi1 H1'
_symmetry_space_group_name_H-M 'P 4/m m m'
_symmetry_Int_Tables_number 123
_symmetry_space_group_name_Hall '-P 4 2'
_cell_length_a 5.140
_cell_length_b 5.140
_cell_length_c 5.509
_cell_angle_alpha 90.00
_cell_angle_beta 90.00
_cell_angle_gamma 90.00
loop_
_atom_site_label
_atom_site_fract_x
_atom_site_fract_y
_atom_site_fract_z
_atom_site_occupancy
Ti1 0.000 0.500 0.000 1
Cd1 0.000 0.000 0.000 1
Bi1 0.000 0.000 0.500 1
H1 0.500 0.500 0.500 1
```



Calculated relative energies: 1) 0.000; 2) 0.965, given in eV/atom